(1)
Sr3MnPt meta-GGA SCAN PBEsol geometry; magnetization = 2.2 μB/f.u.; DOS(E_F) = 0.890 states/eV/atom; ρ = 5.48 Mg/m³; ΔE_f = 3.02 eV per formula unit
1.0
-0.118 5.375 -0.084
-5.274 -0.132 -1.042
-1.044 0.059 5.274
Sr Mn Pt
3 1 1
Cartesian
-2.637 -0.066 -0.521
-0.059 2.688 -0.042
-0.522 0.030 2.637
0.000 0.000 0.000
-3.218 2.651 2.074



(2)
Ba2ReBr meta-GGA SCAN PBEsol geometry; magnetization = 1.8 μB/f.u.; excess energy over the best structure of this formula in the dataset = 0 meV/atom; energy relative to the elements, uncorrected = 0.0864 eV per atom; DOS(E_F) = 0.607 states/eV/atom; ρ = 7.37 Mg/m³
1.0
-1.113 2.790 -2.006
-5.081 -1.042 1.371
0.563 3.801 4.975
Ba Re Br
2 1 1
Cartesian
0.493 3.326 4.353
-2.886 2.300 1.549
-2.605 4.200 4.036
0.211 1.425 1.865



(3)
Co3B7IO13 meta-GGA SCAN PBEsol geometry; magnetization = 9.0 μB/f.u.; energy relative to the elements, uncorrected = -2.1738 eV per atom; ρ = 4.46 Mg/m³
1.0
-7.440 -3.922 -1.364
-3.035 -5.501 5.756
-6.820 2.056 4.675
Co O B I
6 26 14 2
Cartesian
-7.130 -0.933 1.656
-4.927 -1.723 5.216
-3.720 -1.961 -0.682
-1.517 -2.750 2.878
-5.237 -4.712 2.196
-3.410 1.028 2.338
-12.642 -3.638 3.938
0.000 0.000 0.000
-7.445 0.008 3.422
-6.844 -1.982 4.610
-9.237 -4.790 6.674
-6.930 -4.500 6.126
-4.741 -3.712 5.558
-10.498 -3.285 2.931
-10.839 -2.774 5.256
-10.588 -3.383 8.063
-5.371 -5.981 5.073
-11.837 -1.403 3.565
-10.363 -5.402 4.028
-8.252 -3.679 8.553
-6.840 -4.402 0.994
-8.910 -3.271 0.525
-9.135 -1.252 4.559
-8.928 -2.405 6.641
-7.511 -0.030 5.826
-9.376 -7.469 3.330
-6.323 -4.176 3.821
-8.775 -4.830 2.337
-8.248 -6.098 4.937
-8.648 -3.684 4.534
-10.258 -7.243 5.556
-7.650 -2.709 2.482
-7.264 -3.094 3.808
-11.454 -2.775 3.922
-9.251 -3.564 7.482
-7.734 -0.814 4.604
-10.852 -4.111 9.270
-13.848 -3.037 4.428
-8.235 -4.854 5.650
-8.044 -3.803 1.585
-9.645 -4.349 3.372
-9.446 -2.436 5.304
-9.561 -6.553 4.463
-15.911 -6.778 8.342
-11.274 -8.176 5.162
-5.841 -4.592 5.145
-12.971 -5.525 6.800
-4.324 -1.842 2.267



(4)
YFeTc3 meta-GGA SCAN PBEsol geometry; magnetization = 0.0 μB/f.u.; DOS(E_F) = 0.914 states/eV/atom; ρ = 8.41 Mg/m³; ΔE_f = 3.53 eV per formula unit
1.0
4.425 0.000 0.000
0.000 4.425 0.000
0.000 0.000 4.425
Tc Y Fe
3 1 1
Cartesian
2.212 0.000 0.000
0.000 2.212 0.000
0.000 0.000 2.212
2.212 2.212 2.212
0.000 0.000 0.000



(5)
ScAlH2Cl meta-GGA SCAN PBEsol geometry; magnetization = 0.0 μB/f.u.; DOS(E_F) = 0.220 states/eV/atom; uncorrected energy = -7.59 eV per atom; ρ = 2.08 Mg/m³
1.0
-3.622 -0.285 -1.323
0.541 -3.769 -0.669
-1.878 -1.230 5.407
H Cl Al Sc
2 1 1 1
Cartesian
-1.811 -0.143 -0.661
0.271 -1.885 -0.335
-2.479 -2.642 1.708
-0.939 -0.615 2.704
0.000 0.000 0.000



(6)
BeMo2Br meta-GGA SCAN PBEsol geometry; magnetization = 0.0 μB/f.u.; excess energy over the best structure of this formula in the dataset = 564 meV/atom; energy relative to the elements, uncorrected = 0.8839 eV per atom; DOS(E_F) = 0.735 states/eV/atom; ρ = 8.01 Mg/m³
1.0
-1.984 2.097 -0.066
-1.496 -1.539 -3.915
-2.268 -2.024 3.850
Mo Br Be
2 1 1
Cartesian
0.000 0.000 0.000
-2.126 0.036 1.892
-1.882 -1.782 -0.033
-1.740 0.279 -1.991



(7)
BeFe3H meta-GGA SCAN PBEsol geometry; magnetization = 7.0 μB/f.u.; DOS(E_F) = 0.249 states/eV/atom; uncorrected energy = -12.54 eV per atom; ρ = 6.76 Mg/m³
1.0
3.520 0.000 0.000
0.000 3.520 0.000
0.000 0.000 3.520
Be Fe H
1 3 1
Cartesian
1.760 1.760 1.760
0.000 1.760 0.000
0.000 0.000 1.760
1.760 0.000 0.000
0.000 0.000 0.000



(8)
KAlHg2 meta-GGA SCAN PBEsol geometry; magnetization = 0.0 μB/f.u.; excess energy over the best structure of this formula in the dataset = 204 meV/atom; DOS(E_F) = 0.444 states/eV/atom; ρ = 7.84 Mg/m³; ΔE_f = 0.15 eV per formula unit
1.0
-2.885 1.048 2.312
-3.229 -2.757 -2.779
0.901 -4.030 2.951
Hg Al K
2 1 1
Cartesian
-1.615 -1.379 -1.390
0.450 -2.015 1.475
-1.443 0.524 1.156
-2.607 -2.869 1.242